1.
Here is a geometry-optimized TaNb3V structure from Alexandria. Energies are from PBE.

Calculated values
ΔH_f (0 K), eV/f.u.: 1.7

Unit cell a=5.7159 b=3.0877 c=10.3177 alpha=90.00 beta=90.88 gamma=90.00
Space group P2_1/m (No. 11)
Inequivalent atoms, fractional coordinates:
Ta (0.1677, 0.2500, 0.0611) x2
Nb (0.0143, 0.2500, 0.7379) x2
Nb (0.3868, 0.7500, 0.8638) x2
Nb (0.3888, 0.2500, 0.3784) x2
V (0.1573, 0.7500, 0.5477) x2



2.
Here is a geometry-optimized TaNb2V structure from Alexandria. Energies are from PBE.

Calculated values
ΔH_f (0 K), eV/f.u.: 0.2

Unit cell a=4.6010 b=4.6010 c=11.2383 alpha=90.00 beta=90.00 gamma=120.00
Space group R3m (No. 160, hexagonal axes)
Inequivalent atoms, fractional coordinates:
Ta (0.0000, 0.0000, 0.0000) x3
Nb (0.0000, 0.0000, 0.4998) x3
Nb (0.0000, 0.0000, 0.7499) x3
V (0.0000, 0.0000, 0.2499) x3



3.
Here is a geometry-optimized Ta2Nb2V15 structure from Alexandria. Energies are from PBE.

Calculated values
ΔH_f (0 K), eV/f.u.: 3.1

Unit cell a=8.8903 b=8.8903 c=12.4405 alpha=90.00 beta=90.00 gamma=120.00
Space group R-3m (No. 166, hexagonal axes)
Inequivalent atoms, fractional coordinates:
Ta (0.0000, 0.0000, 0.1621) x6
Nb (0.0000, 0.0000, 0.3948) x6
V (0.0000, 0.3115, 0.5000) x18
V (0.0000, 0.5000, 0.0000) x9
V (0.0159, 0.5080, 0.6481) x18



4.
Here is a geometry-optimized Ta4Nb5V2 structure from Alexandria. Energies are from PBE.

Calculated values
ΔH_f (0 K), eV/f.u.: 2.7

Unit cell a=7.7143 b=2.8418 c=9.0543 alpha=90.00 beta=91.55 gamma=90.00
Space group P2/m (No. 10)
Inequivalent atoms, fractional coordinates:
Ta (0.1665, 0.0000, 0.1266) x2
Ta (0.2770, 0.0000, 0.5301) x2
Nb (0.1884, 0.5000, 0.8366) x2
Nb (0.4526, 0.5000, 0.3029) x2
Nb (0.5000, 0.5000, 0.0000) x1
V (0.0411, 0.5000, 0.3669) x2



5.
Here is a geometry-optimized TaNb3V structure from Alexandria. Energies are from PBE.

Calculated values
ΔH_f (0 K), eV/f.u.: 0.1

Unit cell a=9.8450 b=4.6146 c=7.9539 alpha=90.00 beta=105.44 gamma=90.00
Space group C2/m (No. 12)
Inequivalent atoms, fractional coordinates:
Ta (0.1533, 0.0000, 0.0505) x4
Nb (0.0481, 0.5000, 0.8434) x4
Nb (0.0540, 0.0000, 0.3567) x4
Nb (0.2497, 0.0000, 0.7374) x4
V (0.1480, 0.5000, 0.5505) x4



6.
Here is a geometry-optimized TaNb14V structure from Alexandria. Energies are from PBE.

Calculated values
ΔH_f (0 K), eV/f.u.: -0.1

Unit cell a=6.6048 b=6.6048 c=6.6000 alpha=90.00 beta=90.00 gamma=90.00
Space group P4/mmm (No. 123)
Inequivalent atoms, fractional coordinates:
Ta (0.0000, 0.0000, 0.0000) x1
Nb (0.0000, 0.0000, 0.5000) x1
Nb (0.0000, 0.5000, 0.0000) x2
Nb (0.0000, 0.5000, 0.5000) x2
Nb (0.2526, 0.2526, 0.2475) x8
Nb (0.5000, 0.5000, 0.5000) x1
V (0.5000, 0.5000, 0.0000) x1



7.
Here is a geometry-optimized Ta14NbV structure from Alexandria. Energies are from PBE.

Calculated values
ΔH_f (0 K), eV/f.u.: 0.2

Unit cell a=6.6251 b=9.3556 c=9.3351 alpha=90.00 beta=90.00 gamma=90.00
Space group Cmmm (No. 65)
Inequivalent atoms, fractional coordinates:
Ta (0.0000, 0.0000, 0.0000) x2
Ta (0.0000, 0.2488, 0.2494) x8
Ta (0.0000, 0.5000, 0.0000) x2
Ta (0.2474, 0.0000, 0.2567) x8
Ta (0.2500, 0.2500, 0.0000) x4
Ta (0.2500, 0.2500, 0.5000) x4
Nb (0.0000, 0.5000, 0.5000) x2
V (0.0000, 0.0000, 0.5000) x2



8.
Here is a geometry-optimized Ta3NbV structure from Alexandria. Energies are from PBE.

Calculated values
ΔH_f (0 K), eV/f.u.: 0.2

Unit cell a=13.4786 b=4.5968 c=5.6814 alpha=90.00 beta=97.93 gamma=90.00
Space group C2/m (No. 12)
Inequivalent atoms, fractional coordinates:
Ta (0.0032, 0.0000, 0.2567) x4
Ta (0.0998, 0.5000, 0.9490) x4
Ta (0.1994, 0.0000, 0.6446) x4
Nb (0.1997, 0.0000, 0.1530) x4
V (0.0937, 0.5000, 0.4555) x4